1.
Compound: HgTeW2
Source: Alexandria via LeMat-Bulk
Functional: GGA-PBEsol
Structure: relaxed

Unit cell a=8.8769 b=3.0842 c=5.3897 alpha=90.00 beta=100.70 gamma=90.00
With the nearest neighbours (Å) after each atom.
Space group C2/m (No. 12)
Inequivalent atoms, fractional coordinates:
Hg  0.0000  0.0000  0.0000 x2  6 W 2.81-2.86, 2 Hg 3.08, 4 Te 3.10
Te  0.0000  0.5000  0.5000 x2  6 W 2.79-2.80, 2 Te 3.08, 4 Hg 3.10
W  0.2475  0.0000  0.7413 x4  3 Te 2.79-2.80, 3 Hg 2.81-2.86, 4 W 3.03-3.08

Output
As for the density: 15.9 g/cm3. The value obtained for the density of states at the Fermi level is 5.396 states/eV/cell. The calculation puts the calculated volume at 18.1 Å³ per atom. As for the formation energy without anion corrections: 3.55 eV per formula unit. The calculation puts the energy above the lowest structure with this stoichiometry at 0.435 eV/atom.

2.
Compound: Li4MnF6
Source: Alexandria via LeMat-Bulk
Functional: GGA-PBEsol
Structure: relaxed

Unit cell a=8.6358 b=8.6358 c=4.8488 alpha=90.00 beta=90.00 gamma=120.00
With the nearest neighbours (Å) after each atom.
Space group P-3m1 (No. 164)
Inequivalent atoms, fractional coordinates:
Li  0.0000  0.3168  0.0000 x6  6 F 1.94-2.09
Li  0.0000  0.3473  0.5000 x6  6 F 1.95-2.09
Mn  0.0000  0.0000  0.5000 x1  6 F 2.11
Mn  0.3333  0.6667  0.0073 x2  6 F 2.12
F  0.0939  0.5469  0.2400 x6  4 Li 1.95-2.09, 1 Mn 2.12
F  0.1201  0.2402  0.2709 x6  4 Li 1.98-2.03, 1 Mn 2.11
F  0.2133  0.4267  0.7732 x6  4 Li 1.94-2.09, 1 Mn 2.12

Output
As for the density: 3.1 g/cm3. The value obtained for the density of states at the Fermi level is 0.000 states/eV/cell. The calculation puts the calculated volume at 9.5 Å³ per atom. As for the formation energy without anion corrections: -30.17 eV per formula unit.

3.
Compound: KAlHgCl2
Source: Alexandria via LeMat-Bulk
Functional: GGA-PBEsol
Structure: relaxed

Unit cell a=5.0569 b=5.0569 c=6.4264 alpha=90.00 beta=90.00 gamma=90.00
With the nearest neighbours (Å) after each atom.
Space group P4/mmm (No. 123)
Inequivalent atoms, fractional coordinates:
K  0.0000  0.0000  0.0000 x1  2 Al 3.21, 4 Hg 3.58
Al  0.0000  0.0000  0.5000 x1  4 Cl 2.53
Hg  0.5000  0.5000  0.0000 x1  4 K 3.58
Cl  0.0000  0.5000  0.5000 x2  2 Al 2.53

Output
As for the density: 3.4 g/cm3. The value obtained for the density of states at the Fermi level is 0.930 states/eV/cell. The calculation puts the calculated volume at 32.9 Å³ per atom. As for the formation energy without anion corrections: -2.44 eV per formula unit.

4.
Compound: Co2P
Source: Alexandria via LeMat-Bulk
Functional: GGA-PBEsol
Structure: relaxed

Unit cell a=3.6698 b=3.6698 c=2.6797 alpha=90.00 beta=90.00 gamma=120.00
With the nearest neighbours (Å) after each atom.
Space group P-3m1 (No. 164)
Inequivalent atoms, fractional coordinates:
Co  0.3333  0.6667  0.2436 x2  3 P 2.22
P  0.0000  0.0000  0.0000 x1  6 Co 2.22

Output
Its formation energy from the elements is -105 kJ/mol of formula units. As for the density: 7.9 g/cm3. The value obtained for the density of states at the Fermi level is 3.212 states/eV/cell. The calculation puts the calculated volume at 10.4 Å³ per atom.

5.
Compound: Zn2CdTc
Source: Alexandria via LeMat-Bulk
Functional: GGA-PBEsol
Structure: relaxed

Unit cell a=3.1868 b=3.1868 c=5.9888 alpha=90.00 beta=90.00 gamma=90.00
With the nearest neighbours (Å) after each atom.
Space group P4/mmm (No. 123)
Inequivalent atoms, fractional coordinates:
Zn  0.0000  0.0000  0.2183 x2  4 Tc 2.61, 1 Zn 2.62, 4 Cd 2.81
Cd  0.5000  0.5000  0.5000 x1  8 Zn 2.81, 2 Tc 2.99
Tc  0.5000  0.5000  0.0000 x1  8 Zn 2.61

Output
Its formation energy from the elements is 85 kJ/mol of formula units. As for the density: 9.3 g/cm3. The value obtained for the density of states at the Fermi level is 2.680 states/eV/cell. The calculation puts the calculated volume at 15.2 Å³ per atom.

6.
Compound: SrTaTi3
Source: Alexandria via LeMat-Bulk
Functional: GGA-PBEsol
Structure: relaxed

Unit cell a=4.6077 b=4.6077 c=4.6077 alpha=90.00 beta=90.00 gamma=90.00
With the nearest neighbours (Å) after each atom.
Space group Pm-3m (No. 221)
Inequivalent atoms, fractional coordinates:
Sr  0.0000  0.0000  0.0000 x1  6 Ti 2.30
Ta  0.5000  0.5000  0.5000 x1  12 Ti 3.26
Ti  0.0000  0.0000  0.5000 x3  2 Sr 2.30

Output
Its formation energy from the elements is 939 kJ/mol of formula units. As for the density: 7.0 g/cm3. The value obtained for the density of states at the Fermi level is 8.920 states/eV/cell. The calculation puts the calculated volume at 19.6 Å³ per atom.

7.
Compound: Ag3O
Source: Alexandria via LeMat-Bulk
Functional: GGA-PBEsol
Structure: relaxed

Unit cell a=5.2230 b=5.2230 c=4.9910 alpha=90.00 beta=90.00 gamma=120.00
With the nearest neighbours (Å) after each atom.
Space group P-31m (No. 162)
Inequivalent atoms, fractional coordinates:
Ag  0.0000  0.3140  0.2820 x6  2 O 2.28
O  0.3333  0.6667  0.0000 x2  6 Ag 2.28

Output
As for the density: 9.6 g/cm3. The value obtained for the density of states at the Fermi level is 1.577 states/eV/cell. The calculation puts the calculated volume at 14.7 Å³ per atom. As for the formation energy without anion corrections: -0.19 eV per formula unit.

8.
Compound: ZrZn3B
Source: Alexandria via LeMat-Bulk
Functional: GGA-PBEsol
Structure: relaxed

Unit cell a=4.1410 b=4.1410 c=4.1410 alpha=90.00 beta=90.00 gamma=90.00
With the nearest neighbours (Å) after each atom.
Space group Pm-3m (No. 221)
Inequivalent atoms, fractional coordinates:
Zr  0.0000  0.0000  0.0000 x1  12 Zn 2.93
Zn  0.0000  0.5000  0.5000 x3  2 B 2.07
B  0.5000  0.5000  0.5000 x1  6 Zn 2.07

Output
Its formation energy from the elements is 131 kJ/mol of formula units. As for the density: 7.0 g/cm3. The value obtained for the density of states at the Fermi level is 2.315 states/eV/cell. The calculation puts the calculated volume at 14.2 Å³ per atom.

9.
Compound: Ca2YCu
Source: Alexandria via LeMat-Bulk
Functional: GGA-PBEsol
Structure: relaxed

Unit cell a=3.5271 b=3.5271 c=9.2813 alpha=90.00 beta=90.00 gamma=90.00
With the nearest neighbours (Å) after each atom.
Space group P4mm (No. 99)
Inequivalent atoms, fractional coordinates:
Ca  0.0000  0.0000  0.0000 x1  4 Ca 3.53, 4 Y 3.78
Ca  0.5000  0.5000  0.3347 x1  4 Cu 3.12, 1 Y 3.33
Y  0.5000  0.5000  0.6935 x1  4 Cu 2.89
Cu  0.0000  0.0000  0.5364 x1  4 Y 2.89, 4 Ca 3.12

Output
Its formation energy from the elements is -12 kJ/mol of formula units. As for the density: 3.3 g/cm3. The value obtained for the density of states at the Fermi level is 3.823 states/eV/cell. The calculation puts the calculated volume at 28.9 Å³ per atom. The calculation puts the energy above the lowest structure with this stoichiometry at 0.000 eV/atom.

10.
Compound: BaAuBr3
Source: Alexandria via LeMat-Bulk
Functional: GGA-PBEsol
Structure: relaxed

Unit cell a=6.1455 b=6.1455 c=6.1455 alpha=90.00 beta=90.00 gamma=90.00
With the nearest neighbours (Å) after each atom.
Space group Pm-3m (No. 221)
Inequivalent atoms, fractional coordinates:
Ba  0.0000  0.0000  0.0000 x1  6 Br 3.07
Au  0.5000  0.5000  0.5000 x1  12 Br 4.35
Br  0.0000  0.0000  0.5000 x3  2 Ba 3.07

Output
As for the density: 4.1 g/cm3. The value obtained for the density of states at the Fermi level is 5.597 states/eV/cell. The calculation puts the calculated volume at 46.4 Å³ per atom. As for the formation energy without anion corrections: -2.13 eV per formula unit.

11.
Compound: LiCdPC2
Source: Alexandria via LeMat-Bulk
Functional: GGA-PBEsol
Structure: relaxed

Unit cell a=3.5948 b=3.5948 c=5.0391 alpha=90.00 beta=90.00 gamma=90.00
With the nearest neighbours (Å) after each atom.
Space group P4/mmm (No. 123)
Inequivalent atoms, fractional coordinates:
Li  0.0000  0.0000  0.0000 x1  2 P 2.52, 4 Cd 2.54
Cd  0.5000  0.5000  0.0000 x1  4 Li 2.54
P  0.0000  0.0000  0.5000 x1  4 C 1.80
C  0.0000  0.5000  0.5000 x2  2 P 1.80

Output
Its formation energy from the elements is 670 kJ/mol of formula units. As for the density: 4.4 g/cm3. The value obtained for the density of states at the Fermi level is 1.675 states/eV/cell. The calculation puts the calculated volume at 13.0 Å³ per atom.

12.
Compound: KGdH2C2SO9
Source: Alexandria via LeMat-Bulk
Functional: GGA-PBEsol
Structure: relaxed

Unit cell a=6.5844 b=8.5312 c=14.5627 alpha=90.00 beta=113.00 gamma=90.00
With the nearest neighbours (Å) after each atom.
Space group P2_1/c (No. 14)
Inequivalent atoms, fractional coordinates:
K  0.0341  0.1432  0.3017 x4  8 O 2.74-3.02
Gd  0.3296  0.2478  0.5834 x4  8 O 2.31-2.44
H  0.0275  0.0428  0.9118 x4  1 O 1.00
H  0.2664  0.0394  0.9093 x4  1 O 1.01
C  0.3640  0.5398  0.7308 x4  2 O 1.26-1.27
C  0.4159  0.0449  0.7809 x4  2 O 1.26-1.27
S  0.2605  0.6624  0.0270 x4  4 O 1.47-1.50
O  0.0515  0.7381  0.9608 x4  1 S 1.48
O  0.1719  0.0985  0.9377 x4  2 H 1.00-1.01
O  0.2146  0.0445  0.1678 x4  1 C 1.27
O  0.2461  0.0089  0.5020 x4  1 S 1.50
O  0.2683  0.1348  0.7247 x4  1 C 1.26
O  0.2990  0.6836  0.1325 x4  1 S 1.47
O  0.3462  0.6140  0.8019 x4  1 C 1.26
O  0.3977  0.5450  0.3472 x4  1 C 1.27
O  0.4442  0.7335  0.0063 x4  1 S 1.49

Output
As for the density: 3.5 g/cm3. For the uncorrected energy, the calculation gives -485.6 eV per cell. The value obtained for the density of states at the Fermi level is 0.000 states/eV/cell. The calculation puts the calculated volume at 11.8 Å³ per atom.

Repeat the twelfth record exactly.
Compound: KGdH2C2SO9
Source: Alexandria via LeMat-Bulk
Functional: GGA-PBEsol
Structure: relaxed

Unit cell a=6.5844 b=8.5312 c=14.5627 alpha=90.00 beta=113.00 gamma=90.00
With the nearest neighbours (Å) after each atom.
Space group P2_1/c (No. 14)
Inequivalent atoms, fractional coordinates:
K  0.0341  0.1432  0.3017 x4  8 O 2.74-3.02
Gd  0.3296  0.2478  0.5834 x4  8 O 2.31-2.44
H  0.0275  0.0428  0.9118 x4  1 O 1.00
H  0.2664  0.0394  0.9093 x4  1 O 1.01
C  0.3640  0.5398  0.7308 x4  2 O 1.26-1.27
C  0.4159  0.0449  0.7809 x4  2 O 1.26-1.27
S  0.2605  0.6624  0.0270 x4  4 O 1.47-1.50
O  0.0515  0.7381  0.9608 x4  1 S 1.48
O  0.1719  0.0985  0.9377 x4  2 H 1.00-1.01
O  0.2146  0.0445  0.1678 x4  1 C 1.27
O  0.2461  0.0089  0.5020 x4  1 S 1.50
O  0.2683  0.1348  0.7247 x4  1 C 1.26
O  0.2990  0.6836  0.1325 x4  1 S 1.47
O  0.3462  0.6140  0.8019 x4  1 C 1.26
O  0.3977  0.5450  0.3472 x4  1 C 1.27
O  0.4442  0.7335  0.0063 x4  1 S 1.49

Output
As for the density: 3.5 g/cm3. For the uncorrected energy, the calculation gives -485.6 eV per cell. The value obtained for the density of states at the Fermi level is 0.000 states/eV/cell. The calculation puts the calculated volume at 11.8 Å³ per atom.

- The highest calculated volume belongs to which entry?
  BaAuBr3